[1]
DFT (PBE) results for a relaxed VIn3Ga crystal.

abc: 5.286 5.286 5.286
angles: 90.00 90.00 90.00
Space group Pm-3m (No. 221)
Symmetry-distinct sites (fractional):
V  0.000  0.000  0.000 x1
In  0.000  0.000  0.500 x3
Ga  0.500  0.500  0.500 x1

## Properties
density of states at the Fermi level = 2.694 states/eV per cell
electronic total energy = -3.5823 eV per atom

***

[2]
DFT (PBE) results for a relaxed CdHg2Pb crystal.

abc: 4.774 4.774 9.231
angles: 90.00 90.00 90.00
Space group I4/mmm (No. 139)
Symmetry-distinct sites (fractional):
Cd  0.000  0.000  0.000 x2
Hg  0.000  0.500  0.250 x4
Pb  0.000  0.000  0.500 x2

## Properties
density of states at the Fermi level = 4.282 states/eV per cell
electronic total energy = -1.2528 eV per atom

***

[3]
DFT (PBE) results for a relaxed AsC2 crystal.

abc: 2.395 2.395 7.322
angles: 90.00 90.00 90.00
Space group P4/mmm (No. 123)
Symmetry-distinct sites (fractional):
As  0.000  0.000  0.000 x1
C  0.000  0.500  0.500 x2

## Properties
density of states at the Fermi level = 1.340 states/eV per cell
electronic total energy = -5.6736 eV per atom

***

[4]
DFT (PBE) results for a relaxed Na8Te2S crystal.

abc: 16.723 4.751 8.550
angles: 90.00 91.97 90.00
Space group C2/m (No. 12)
Symmetry-distinct sites (fractional):
Na  0.008  0.000  0.180 x4
Na  0.085  0.500  0.383 x4
Na  0.163  0.500  0.007 x4
Na  0.190  0.000  0.619 x4
Te  0.206  0.000  0.251 x4
S  0.000  0.500  0.000 x2

## Properties
density of states at the Fermi level = 3.392 states/eV per cell
electronic total energy = -2.5947 eV per atom
formation energy from raw total energies = -0.689 eV per atom

***

[5]
DFT (PBE) results for a relaxed Mn2Co2W crystal.

abc: 6.797 6.797 2.546
angles: 90.00 90.00 90.00
Space group P4/mbm (No. 127)
Symmetry-distinct sites (fractional):
Mn  0.119  0.381  0.000 x4
Co  0.175  0.675  0.500 x4
W  0.000  0.000  0.000 x2

## Properties
density of states at the Fermi level = 14.577 states/eV per cell
electronic total energy = -8.9165 eV per atom

***

[6]
DFT (PBE) results for a relaxed SrMn2Re crystal.

abc: 4.699 4.699 16.047
angles: 90.00 90.00 90.00
Space group I4_1/amd (No. 141, origin choice 2)
Symmetry-distinct sites (fractional):
Sr  0.000  0.250  0.375 x4
Mn  0.000  0.000  0.000 x8
Re  0.000  0.250  0.875 x4

## Properties
density of states at the Fermi level = 22.685 states/eV per cell
electronic total energy = -7.0373 eV per atom

***

[7]
DFT (PBE) results for a relaxed NbVS3 crystal.

abc: 4.789 4.789 4.789
angles: 90.00 90.00 90.00
Space group Pm-3m (No. 221)
Symmetry-distinct sites (fractional):
Nb  0.000  0.000  0.000 x1
V  0.500  0.500  0.500 x1
S  0.000  0.000  0.500 x3

## Properties
density of states at the Fermi level = 8.730 states/eV per cell
electronic total energy = -6.2917 eV per atom
formation energy from raw total energies = 0.022 eV per atom

***

[8]
DFT (PBE) results for a relaxed SrLiPd crystal.

abc: 6.970 6.970 6.970
angles: 90.00 90.00 90.00
Space group F-43m (No. 216)
Symmetry-distinct sites (fractional):
Sr  0.000  0.000  0.000 x4
Li  0.000  0.000  0.500 x4
Pd  0.250  0.250  0.750 x4

## Properties
density of states at the Fermi level = 9.634 states/eV per cell
electronic total energy = -3.1957 eV per atom

***

Which formula does entry 5 have?
Mn2Co2W

***

density of states at the Fermi level of number 7 (NbVS3)?
8.730 states/eV per cell